The following is a GGA-PBE calculation of an optimized crystal structure of MgZnI2O, from the Alexandria database.

```
MgZnI2O
1.0
5.771 0.000 0.000
0.000 5.771 0.000
0.000 0.000 3.754
Mg Zn I O
1 1 2 1
direct
0.000 0.000 0.000 Mg
0.500 0.500 0.500 Zn
0.000 0.500 0.500 I
0.500 0.000 0.500 I
0.500 0.500 0.000 O
```

Formation energy (no corrections): -0.3904 eV per atom
Final energy: -2.576 eV per atom
Total moment: 0.33 μB/f.u.
SG: P4/mmm, No. 123

=====

The following is a GGA-PBE calculation of an optimized crystal structure of MgZn2IO6, from the Alexandria database.

```
MgZn2IO6
1.0
2.659 1.535 4.705
-2.659 1.535 4.705
0.000 -3.071 4.705
Mg Zn I O
1 2 1 6
direct
0.000 0.000 0.000 Mg
0.275 0.275 0.275 Zn
0.786 0.786 0.786 Zn
0.492 0.492 0.492 I
0.114 0.699 0.395 O
0.213 0.601 0.880 O
0.395 0.114 0.699 O
0.601 0.880 0.213 O
0.699 0.395 0.114 O
0.880 0.213 0.601 O
```

Formation energy (no corrections): -1.1646 eV per atom
Final energy: -4.709 eV per atom
Total moment: 0.81 μB/f.u.
SG: R3, No. 146

=====

The following is a GGA-PBE calculation of an optimized crystal structure of Mg2ZnIO6, from the Alexandria database.

```
Mg2ZnIO6
1.0
2.642 1.525 4.741
-2.642 1.525 4.741
0.000 -3.050 4.741
Mg Zn I O
2 1 1 6
direct
0.000 0.000 0.000 Mg
0.492 0.492 0.492 Mg
0.214 0.214 0.214 Zn
0.697 0.697 0.697 I
0.082 0.416 0.797 O
0.309 0.894 0.607 O
0.416 0.797 0.082 O
0.607 0.309 0.894 O
0.797 0.082 0.416 O
0.894 0.607 0.309 O
```

Formation energy (no corrections): -1.4460 eV per atom
Final energy: -5.022 eV per atom
Total moment: 0.46 μB/f.u.
SG: R3, No. 146